! FeSiHgBiH, relaxed, DFT PBE-GGA; values from VASP
! Symmetry ... P1 (1)
! Total magnetic moment ... 0.000 Bohr magnetons per cell
! E above lowest polymorph ... 0.024 eV per atom
! E_tot ... -4.1424 eV per atom
&SYSTEM
  ibrav = 0, nat = 5, ntyp = 5
/
ATOMIC_SPECIES
Si 28.09 Si.upf
Bi 208.98 Bi.upf
Fe 55.84 Fe.upf
H 1.01 H.upf
Hg 200.59 Hg.upf
CELL_PARAMETERS angstrom
-3.455 1.579 -0.844
-1.645 -0.708 -3.548
-4.821 -4.548 2.270
ATOMIC_POSITIONS angstrom
Si -4.859 -3.468 1.132
Bi -5.656 -1.573 -1.028
Fe -8.156 -2.710 -1.887
H -8.785 -3.310 -0.565
Hg -2.844 0.060 -0.522